Entry 1:
DFT (GGA-PBE) results for a relaxed structure of CsCeZnSe4.

Its total energy is -4.329 eV per atom. The value obtained for the spin magnetization is 0.28 μB/f.u. Its uncorrected formation energy is -1.19 eV per atom.

The space group is P2_1/m (No. 11) and the conventional cell measures 7.3630, 5.8272 and 10.2586 Å, with angles of 90.00, 105.21 and 90.00 degrees. The distinct sites, in fractional coordinates, are Cs at (0.2379, 0.2500, 0.0430), Ce at (0.2650, 0.2500, 0.5541), Zn at (0.2699, 0.7500, 0.3334), Se at (0.0070, 0.5122, 0.6930), Se at (0.4211, 0.7500, 0.5764) and Se at (0.4742, 0.7500, 0.1873).

=====

Entry 2:
DFT (GGA-PBE) results for a relaxed structure of ErSc2Cu.

As for the calculated formation energy: -0.4 eV/f.u. For the polymorph energy (0 for the lowest one), the calculation gives 0.04 eV/f.u. Its total energy is -5.436 eV per atom. The value obtained for the spin magnetization is 0.00 μB/f.u.

The space group is Cmcm (No. 63) and the conventional cell measures 4.6623, 10.8537 and 7.2361 Å, with angles of 90.00, 90.00 and 90.00 degrees. The distinct sites, in fractional coordinates, are Er at (0.0000, 0.0533, 0.2500), Sc at (0.0000, 0.3480, 0.0389) and Cu at (0.0000, 0.2068, 0.7500).

=====

Entry 3:
DFT (GGA-PBE) results for a relaxed structure of BeAlZn.

As for the calculated formation energy: 0.4 eV/f.u. For the polymorph energy (0 for the lowest one), the calculation gives 0.02 eV/f.u. Its total energy is -2.788 eV per atom. The value obtained for the spin magnetization is 0.00 μB/f.u.

The space group is F-43m (No. 216) and the conventional cell measures 5.5675, 5.5675 and 5.5675 Å, with angles of 90.00, 90.00 and 90.00 degrees. The distinct sites, in fractional coordinates, are Be at (0.0000, 0.0000, 0.0000), Al at (0.2500, 0.2500, 0.7500) and Zn at (0.2500, 0.2500, 0.2500).

=====

Entry 4:
DFT (GGA-PBE) results for a relaxed structure of Ir2OsRu.

As for the calculated formation energy: 0.1 eV/f.u. For the polymorph energy (0 for the lowest one), the calculation gives 0.03 eV/f.u. Its total energy is -9.544 eV per atom. The value obtained for the spin magnetization is 0.00 μB/f.u.

The space group is Pmm2 (No. 25) and the conventional cell measures 2.7276, 3.8531 and 5.4439 Å, with angles of 90.00, 90.00 and 90.00 degrees. The distinct sites, in fractional coordinates, are Ir at (0.0000, 0.0000, 0.0000), Ir at (0.5000, 0.5000, 0.2556), Os at (0.0000, 0.0000, 0.5051) and Ru at (0.5000, 0.5000, 0.7499).

=====

Entry 5:
DFT (GGA-PBE) results for a relaxed structure of CdInHgBi.

As for the calculated formation energy: 0.0 eV/f.u. Its total energy is -1.949 eV per atom. The value obtained for the spin magnetization is 0.00 μB/f.u.

The space group is F-43m (No. 216) and the conventional cell measures 7.6250, 7.6250 and 7.6250 Å, with angles of 90.00, 90.00 and 90.00 degrees. The distinct sites, in fractional coordinates, are Cd at (0.0000, 0.0000, 0.0000), In at (0.0000, 0.0000, 0.5000), Hg at (0.2500, 0.2500, 0.2500) and Bi at (0.2500, 0.2500, 0.7500).

=====

Entry 6:
DFT (GGA-PBE) results for a relaxed structure of Tm3In.

As for the calculated formation energy: -1.0 eV/f.u. Its total energy is -4.285 eV per atom. The value obtained for the spin magnetization is 0.22 μB/f.u.

The space group is P6_3/mmc (No. 194) and the conventional cell measures 6.7963, 6.7963 and 5.4859 Å, with angles of 90.00, 90.00 and 120.00 degrees. The distinct sites, in fractional coordinates, are Tm at (0.1699, 0.3399, 0.2500) and In at (0.3333, 0.6667, 0.7500).

=====

Entry 7:
DFT (GGA-PBE) results for a relaxed structure of ZrZnFe2.

As for the calculated formation energy: 0.6 eV/f.u. Its total energy is -6.527 eV per atom. The value obtained for the spin magnetization is 3.26 μB/f.u.

The space group is C2/m (No. 12) and the conventional cell measures 5.4925, 8.4460 and 2.7181 Å, with angles of 90.00, 110.82 and 90.00 degrees. The distinct sites, in fractional coordinates, are Zr at (0.0000, 0.0000, 0.0000), Zn at (0.0000, 0.5000, 0.0000) and Fe at (0.2500, 0.2500, 0.5000).

=====

Entry 8:
DFT (GGA-PBE) results for a relaxed structure of BeAlNi2H.

Its total energy is -4.770 eV per atom. The value obtained for the spin magnetization is 0.00 μB/f.u.

The space group is P4/mmm (No. 123) and the conventional cell measures 3.6475, 3.6475 and 3.4037 Å, with angles of 90.00, 90.00 and 90.00 degrees. The distinct sites, in fractional coordinates, are Be at (0.0000, 0.0000, 0.0000), Al at (0.5000, 0.5000, 0.0000), Ni at (0.0000, 0.5000, 0.5000) and H at (0.0000, 0.0000, 0.5000).

=====

Entry 9:
DFT (GGA-PBE) results for a relaxed structure of Pm6PdPb3.

As for the calculated formation energy: -4.0 eV/f.u. Its total energy is -4.884 eV per atom. The value obtained for the spin magnetization is 0.00 μB/f.u.

The space group is P2_1/m (No. 11) and the conventional cell measures 11.5160, 4.2359 and 13.9744 Å, with angles of 90.00, 111.67 and 90.00 degrees. The distinct sites, in fractional coordinates, are Pm at (0.0067, 0.2500, 0.3418), Pm at (0.0867, 0.2500, 0.9092), Pm at (0.2616, 0.7500, 0.3430), Pm at (0.3495, 0.7500, 0.1258), Pm at (0.3521, 0.7500, 0.7739), Pm at (0.4057, 0.2500, 0.5701), Pd at (0.4258, 0.2500, 0.3038), Pb at (0.1351, 0.2500, 0.1530), Pb at (0.1673, 0.7500, 0.5298) and Pb at (0.3889, 0.2500, 0.9577).

=====

Entry 10:
DFT (GGA-PBE) results for a relaxed structure of BaLi2Ca.

As for the calculated formation energy: 1.4 eV/f.u. For the polymorph energy (0 for the lowest one), the calculation gives 1.26 eV/f.u. Its total energy is -1.588 eV per atom. The value obtained for the spin magnetization is 0.00 μB/f.u.

The space group is Immm (No. 71) and the conventional cell measures 3.7297, 6.5604 and 13.5222 Å, with angles of 90.00, 90.00 and 90.00 degrees. The distinct sites, in fractional coordinates, are Ba at (0.0000, 0.0000, 0.0000), Li at (0.0000, 0.0000, 0.2606) and Ca at (0.0000, 0.0000, 0.5000).

=====

Entry 11:
DFT (GGA-PBE) results for a relaxed structure of Ba3LiP2.

As for the calculated formation energy: -4.5 eV/f.u. Its total energy is -3.836 eV per atom. The value obtained for the spin magnetization is 1.01 μB/f.u.

The space group is Ibam (No. 72) and the conventional cell measures 8.2389, 13.3759 and 7.0146 Å, with angles of 90.00, 90.00 and 90.00 degrees. The distinct sites, in fractional coordinates, are Ba at (0.0000, 0.0000, 0.2500), Ba at (0.1595, 0.3219, 0.0000), Li at (0.0000, 0.5000, 0.2500) and P at (0.2016, 0.4060, 0.5000).

=====

Entry 12:
DFT (GGA-PBE) results for a relaxed structure of CaSmZnAu.

As for the calculated formation energy: -2.2 eV/f.u. Its total energy is -3.361 eV per atom. The value obtained for the spin magnetization is 0.00 μB/f.u.

The space group is F-43m (No. 216) and the conventional cell measures 7.2929, 7.2929 and 7.2929 Å, with angles of 90.00, 90.00 and 90.00 degrees. The distinct sites, in fractional coordinates, are Ca at (0.0000, 0.0000, 0.0000), Sm at (0.0000, 0.0000, 0.5000), Zn at (0.2500, 0.2500, 0.7500) and Au at (0.2500, 0.2500, 0.2500).